Entry 1:
A relaxed structure of Ba2SrZn. Source: Alexandria, functional PBE.

Cell and atoms, written as extended XYZ:
```
4
Lattice="4.130 0.000 0.000 0.000 4.130 0.000 0.000 0.000 10.847" Properties=species:S:1:pos:R:3 pbc="T T T"
Ba 0.000 0.000 10.048
Sr 0.000 0.000 6.225
Zn 2.065 2.065 8.016
Ba 2.065 2.065 2.830
```

Calculated values
density: 3.84 g cm⁻³
raw total energy: -1.78 eV/atom
density of states at the Fermi level: 5.44 states/eV per cell
energy of formation from the pure elements: -0.08 eV/atom
total magnetization: 0.0 μB/cell


Entry 2:
A relaxed structure of Ba2SrZn. Source: Alexandria, functional PBE.

Cell and atoms, written as extended XYZ:
```
4
Lattice="7.724 -0.011 0.013 6.540 4.111 0.013 2.639 0.759 5.769" Properties=species:S:1:pos:R:3 pbc="T T T"
Ba 7.827 2.250 3.206
Sr 4.226 1.215 1.449
Zn 12.677 3.644 4.346
Ba 3.263 0.938 5.461
```

Calculated values
density: 3.87 g cm⁻³
raw total energy: -1.70 eV/atom
density of states at the Fermi level: 5.95 states/eV per cell
energy of formation from the pure elements: 0.00 eV/atom
total magnetization: 0.0 μB/cell


Entry 3:
A relaxed structure of Ba2SrZn. Source: Alexandria, functional PBE.

Cell and atoms, written as extended XYZ:
```
4
Lattice="-3.198 3.844 -6.094 1.489 -2.064 -7.461 -2.817 -1.938 7.103" Properties=species:S:1:pos:R:3 pbc="T T T"
Sr -0.750 0.781 -5.947
Ba -0.101 0.106 -0.804
Ba -3.432 1.396 -2.865
Zn -1.097 -1.550 -3.614
```

Calculated values
density: 3.81 g cm⁻³
raw total energy: -1.75 eV/atom
density of states at the Fermi level: 4.89 states/eV per cell
energy of formation from the pure elements: -0.05 eV/atom
total magnetization: 0.0 μB/cell


Entry 4:
A relaxed structure of Ba2Sr5Zn. Source: Alexandria, functional PBE.

Cell and atoms, written as extended XYZ:
```
16
Lattice="4.215 0.000 0.000 0.000 10.280 0.000 0.000 0.000 18.615" Properties=species:S:1:pos:R:3 pbc="T T T"
Sr 0.000 0.045 14.462
Sr 2.108 7.088 1.995
Ba 2.108 2.001 11.324
Sr 0.000 10.235 4.153
Zn 0.000 5.140 0.000
Ba 2.108 8.279 7.291
Sr 0.000 5.140 9.307
Ba 2.108 3.139 2.016
Sr 2.108 8.331 11.302
Sr 0.000 0.000 0.000
Sr 0.000 5.184 13.460
Ba 2.108 7.141 16.598
Sr 0.000 5.095 5.154
Sr 2.108 3.191 16.620
Zn 0.000 0.000 9.307
Sr 2.108 1.948 7.312
```

Calculated values
density: 3.20 g cm⁻³
raw total energy: -1.72 eV/atom
density of states at the Fermi level: 21.50 states/eV per cell
energy of formation from the pure elements: -0.02 eV/atom
total magnetization: 0.0 μB/cell


Entry 5:
A relaxed structure of Ba2SrZn2. Source: Alexandria, functional PBE.

Cell and atoms, written as extended XYZ:
```
10
Lattice="-2.081 0.783 9.446 4.990 -8.132 1.774 3.245 2.109 0.540" Properties=species:S:1:pos:R:3 pbc="T T T"
Ba -0.649 -0.598 6.234
Ba 1.366 -4.483 9.300
Sr 0.000 0.000 0.000
Zn 4.585 -4.191 2.958
Zn 4.437 -5.254 7.999
Ba 3.558 -6.750 4.986
Zn 1.717 0.015 3.761
Ba 1.543 -2.865 1.920
Sr 1.455 -3.674 5.610
Zn 1.569 -1.048 8.801
```

Calculated values
density: 4.45 g cm⁻³
raw total energy: -1.65 eV/atom
density of states at the Fermi level: 5.90 states/eV per cell
E above lowest polymorph: 0.089 eV per atom
energy of formation from the pure elements: -0.03 eV/atom
total magnetization: 0.0 μB/cell


Entry 6:
A relaxed structure of BaSr2Zn2. Source: Alexandria, functional PBE.

Cell and atoms, written as extended XYZ:
```
5
Lattice="-4.394 0.078 3.201 -1.861 -4.486 -2.445 -0.016 -5.871 4.738" Properties=species:S:1:pos:R:3 pbc="T T T"
Zn -3.746 -7.365 4.271
Sr -3.769 -3.999 4.159
Zn -2.525 -2.914 1.223
Sr -2.502 -6.281 1.335
Ba 0.000 0.000 0.000
```

Calculated values
density: 3.84 g cm⁻³
raw total energy: -1.62 eV/atom
density of states at the Fermi level: 5.78 states/eV per cell
E above lowest polymorph: 0.086 eV per atom
energy of formation from the pure elements: -0.05 eV/atom
total magnetization: 0.0 μB/cell